Model P:
VASP calculation (PBE) on an optimized crystal structure of CsNa2ZnIn.

abc: 5.942 5.942 5.424
angles: 90.00 90.00 90.00
Space group P4/mmm (No. 123)
Symmetry-distinct sites (fractional):
Cs1 0.000 0.000 0.000 [1 per cell]
Na1 0.000 0.500 0.500 [2 per cell]
Zn1 0.500 0.500 0.500 [1 per cell]
In1 0.500 0.500 0.000 [1 per cell]

Calculated values
ρ in g cm⁻³: 3.11

Model Q:
VASP calculation (PBE) on an optimized crystal structure of CsNa2ZnIn.

abc: 6.089 6.089 5.529
angles: 90.00 90.00 90.00
Space group P4/mmm (No. 123)
Symmetry-distinct sites (fractional):
Cs1 0.000 0.000 0.000 [1 per cell]
Na1 0.000 0.500 0.500 [2 per cell]
Zn1 0.500 0.500 0.000 [1 per cell]
In1 0.500 0.500 0.500 [1 per cell]

Calculated values
ρ in g cm⁻³: 2.91

Most stable = model P

Model P:
VASP calculation (PBE) on an optimized crystal structure of CsNb3In.

abc: 5.341 5.341 5.341
angles: 90.00 90.00 90.00
Space group Pm-3m (No. 221)
Symmetry-distinct sites (fractional):
Cs1 0.000 0.000 0.000 [1 per cell]
Nb1 0.000 0.500 0.500 [3 per cell]
In1 0.500 0.500 0.500 [1 per cell]

Calculated values
ρ in g cm⁻³: 5.74

Model Q:
VASP calculation (PBE) on an optimized crystal structure of CsNb3In.

abc: 5.032 5.032 5.032
angles: 90.00 90.00 90.00
Space group Pm-3m (No. 221)
Symmetry-distinct sites (fractional):
Cs1 0.000 0.000 0.000 [1 per cell]
Nb1 0.000 0.000 0.500 [3 per cell]
In1 0.500 0.500 0.500 [1 per cell]

Calculated values
ρ in g cm⁻³: 6.86

Most stable = model P

Model P:
VASP calculation (PBE) on an optimized crystal structure of Cs3InO.

abc: 9.159 11.106 9.033
angles: 90.00 90.00 90.00
Space group Cmcm (No. 63)
Symmetry-distinct sites (fractional):
Cs1 0.000 0.225 0.250 [4 per cell]
Cs2 0.229 0.000 0.000 [8 per cell]
In1 0.000 0.220 0.750 [4 per cell]
O1 0.000 0.027 0.750 [4 per cell]

Calculated values
ρ in g cm⁻³: 3.83

Model Q:
VASP calculation (PBE) on an optimized crystal structure of Cs3InO.

abc: 6.068 6.068 6.068
angles: 90.00 90.00 90.00
Space group Pm-3m (No. 221)
Symmetry-distinct sites (fractional):
Cs1 0.000 0.000 0.500 [3 per cell]
In1 0.500 0.500 0.500 [1 per cell]
O1 0.000 0.000 0.000 [1 per cell]

Calculated values
ρ in g cm⁻³: 3.94

Most stable = model P